Record 1
Entry from the Alexandria database: an optimized crystal structure of MgSO2 (GGA-PBE).

* symmetry: No. 225
* polymorph energy (0 for the lowest one): 4.67 eV/f.u.
* ΔE_f (raw): -83 kJ/mol of formula units

The structure in CIF format:
```
data_MgSO2
_chemical_formula_sum 'Mg1 S1 O2'
_space_group_name_H-M_alt 'P 1'
_space_group_IT_number 1
_cell_length_a 3.9465
_cell_length_b 3.9465
_cell_length_c 3.9465
_cell_angle_alpha 60.00
_cell_angle_beta 60.00
_cell_angle_gamma 60.00
loop_
_space_group_symop_operation_xyz
'x,y,z'
loop_
_atom_site_label
_atom_site_fract_x
_atom_site_fract_y
_atom_site_fract_z
O1 0.2500 0.2500 0.2500
S1 0.5000 0.5000 0.5000
O2 0.7500 0.7500 0.7500
Mg1 0.0000 0.0000 0.0000
```

Record 2
Entry from the Alexandria database: an optimized crystal structure of Cd3PRu (GGA-PBE).

* symmetry: No. 221
* polymorph energy (0 for the lowest one): 0.05 eV/f.u.
* calculated formation energy: 1.05 eV/atom

The structure in CIF format:
```
data_Cd3PRu
_chemical_formula_sum 'Cd3 P1 Ru1'
_space_group_name_H-M_alt 'P 1'
_space_group_IT_number 1
_cell_length_a 4.9364
_cell_length_b 4.9364
_cell_length_c 4.9364
_cell_angle_alpha 90.00
_cell_angle_beta 90.00
_cell_angle_gamma 90.00
loop_
_space_group_symop_operation_xyz
'x,y,z'
loop_
_atom_site_label
_atom_site_fract_x
_atom_site_fract_y
_atom_site_fract_z
Cd1 0.5000 0.0000 0.0000
Cd2 0.0000 0.5000 0.0000
Cd3 0.0000 0.0000 0.5000
Ru1 0.5000 0.5000 0.5000
P1 0.0000 0.0000 0.0000
```

Record 3
Entry from the Alexandria database: an optimized crystal structure of Co2NiSb6 (GGA-PBE).

* symmetry: No. 162
* ΔE_f (raw): -109 kJ/mol of formula units

The structure in CIF format:
```
data_Co2NiSb6
_chemical_formula_sum 'Co2 Ni1 Sb6'
_space_group_name_H-M_alt 'P 1'
_space_group_IT_number 1
_cell_length_a 5.1761
_cell_length_b 6.5237
_cell_length_c 6.5237
_cell_angle_alpha 120.00
_cell_angle_beta 90.00
_cell_angle_gamma 90.00
loop_
_space_group_symop_operation_xyz
'x,y,z'
loop_
_atom_site_label
_atom_site_fract_x
_atom_site_fract_y
_atom_site_fract_z
Sb1 0.2406 0.0000 0.6508
Co1 0.5000 0.6667 0.3333
Sb2 0.2406 0.6508 0.0000
Sb3 0.7594 0.0000 0.3492
Sb4 0.7594 0.6508 0.6508
Sb5 0.2406 0.3492 0.3492
Sb6 0.7594 0.3492 0.0000
Ni1 0.0000 0.0000 0.0000
Co2 0.5000 0.3333 0.6667
```

Record 4
Entry from the Alexandria database: an optimized crystal structure of NaPrCo (GGA-PBE).

* symmetry: No. 164
* polymorph energy (0 for the lowest one): 0.00 eV/f.u.
* calculated formation energy: -0.05 eV/atom

The structure in CIF format:
```
data_NaPrCo
_chemical_formula_sum 'Na2 Pr2 Co2'
_space_group_name_H-M_alt 'P 1'
_space_group_IT_number 1
_cell_length_a 3.9573
_cell_length_b 3.9573
_cell_length_c 13.2139
_cell_angle_alpha 90.00
_cell_angle_beta 90.00
_cell_angle_gamma 120.00
loop_
_space_group_symop_operation_xyz
'x,y,z'
loop_
_atom_site_label
_atom_site_fract_x
_atom_site_fract_y
_atom_site_fract_z
Pr1 0.0000 0.0000 0.8570
Na1 0.3333 0.6667 0.6149
Na2 0.6667 0.3333 0.3851
Co1 0.6667 0.3333 0.9998
Pr2 0.0000 0.0000 0.1430
Co2 0.3333 0.6667 0.0002
```

Calculated DOS at the Fermi energy in order - 3.0; 4.2; 4.6; 3.4 states/eV/f.u.
Calculated spin magnetization in order - 0.0; 1.4; 0.0; 0.5 Bohr magnetons per cell